(1)
VASP calculation (SCAN) on a crystal of SiTc2 relaxed with PBEsol.

Unit cell a=4.339 b=4.339 c=4.930 alpha=90.00 beta=90.00 gamma=120.00
Sites, in units of the cell vectors:
Si1 0.333 0.667 0.250
Si2 0.667 0.333 0.750
Tc1 0.000 0.000 0.000
Tc2 0.000 0.000 0.500
Tc3 0.333 0.667 0.750
Tc4 0.667 0.333 0.250

Computed properties:
Its size of the total moment is 0.00 μB/f.u. Its density of states at the Fermi level is 0.926 states/eV/atom. For the final energy, the calculation gives -160.81 eV/cell. The formation energy without anion corrections is -0.27 eV/f.u.

(2)
VASP calculation (SCAN) on a crystal of SiTc2 relaxed with PBEsol.

Unit cell a=6.515 b=6.515 c=4.220 alpha=90.00 beta=90.00 gamma=153.97
Sites, in units of the cell vectors:
Si1 0.075 0.925 0.750
Si2 0.925 0.075 0.250
Tc1 0.263 0.737 0.250
Tc2 0.413 0.587 0.750
Tc3 0.587 0.413 0.250
Tc4 0.737 0.263 0.750

Computed properties:
Its size of the total moment is 0.00 μB/f.u. Its density of states at the Fermi level is 0.689 states/eV/atom. For the final energy, the calculation gives -162.54 eV/cell. The formation energy without anion corrections is -1.13 eV/f.u.

(3)
VASP calculation (SCAN) on a crystal of SiTc relaxed with PBEsol.

Unit cell a=3.087 b=3.087 c=5.476 alpha=90.00 beta=90.00 gamma=90.00
Sites, in units of the cell vectors:
Si1 0.250 0.250 0.129
Si2 0.750 0.750 0.871
Tc1 0.250 0.250 0.666
Tc2 0.750 0.750 0.334

Computed properties:
Its size of the total moment is 0.00 μB/f.u. Its density of states at the Fermi level is 0.518 states/eV/atom. For the final energy, the calculation gives -92.17 eV/cell. The formation energy without anion corrections is -1.01 eV/f.u.

(4)
VASP calculation (SCAN) on a crystal of SiTc5 relaxed with PBEsol.

Unit cell a=4.320 b=6.962 c=6.962 alpha=23.05 beta=90.00 gamma=90.00
Sites, in units of the cell vectors:
Si1 0.000 0.000 0.000
Tc1 0.000 0.329 0.329
Tc2 0.000 0.661 0.661
Tc3 0.500 0.219 0.219
Tc4 0.500 0.550 0.550
Tc5 0.500 0.887 0.887

Computed properties:
Its size of the total moment is 0.00 μB/f.u. Its density of states at the Fermi level is 0.696 states/eV/atom. For the final energy, the calculation gives -186.11 eV/cell. The formation energy without anion corrections is -0.79 eV/f.u.

(5)
VASP calculation (SCAN) on a crystal of SiTc2 relaxed with PBEsol.

Unit cell a=4.722 b=4.722 c=6.563 alpha=108.77 beta=108.77 gamma=35.37
Sites, in units of the cell vectors:
Si1 0.025 0.025 0.290
Si2 0.975 0.975 0.710
Tc1 0.323 0.323 0.373
Tc2 0.354 0.354 0.962
Tc3 0.646 0.646 0.038
Tc4 0.677 0.677 0.627

Computed properties:
Its size of the total moment is 0.00 μB/f.u. Its density of states at the Fermi level is 0.556 states/eV/atom. For the final energy, the calculation gives -162.58 eV/cell. The formation energy without anion corrections is -1.15 eV/f.u.

(6)
VASP calculation (SCAN) on a crystal of SiTc relaxed with PBEsol.

Unit cell a=2.941 b=2.941 c=2.941 alpha=90.00 beta=90.00 gamma=90.00
Sites, in units of the cell vectors:
Si1 0.000 0.000 0.000
Tc1 0.500 0.500 0.500

Computed properties:
Its size of the total moment is 0.00 μB/f.u. Its density of states at the Fermi level is 0.577 states/eV/atom. For the final energy, the calculation gives -46.05 eV/cell. The formation energy without anion corrections is -0.97 eV/f.u.

(7)
VASP calculation (SCAN) on a crystal of SiTc relaxed with PBEsol.

Unit cell a=4.726 b=4.726 c=4.726 alpha=90.00 beta=90.00 gamma=90.00
Sites, in units of the cell vectors:
Si1 0.155 0.345 0.655
Si2 0.345 0.655 0.155
Si3 0.655 0.155 0.345
Si4 0.845 0.845 0.845
Tc1 0.136 0.136 0.136
Tc2 0.364 0.864 0.636
Tc3 0.636 0.364 0.864
Tc4 0.864 0.636 0.364

Computed properties:
Its size of the total moment is 0.00 μB/f.u. Its density of states at the Fermi level is 0.659 states/eV/atom. For the final energy, the calculation gives -184.68 eV/cell. The formation energy without anion corrections is -1.09 eV/f.u.

(8)
VASP calculation (SCAN) on a crystal of Si7Tc4 relaxed with PBEsol.

Unit cell a=5.716 b=5.716 c=18.022 alpha=90.00 beta=90.00 gamma=90.00
Sites, in units of the cell vectors:
Si1 0.150 0.273 0.460
Si2 0.150 0.727 0.960
Si3 0.160 0.160 0.750
Si4 0.160 0.840 0.250
Si5 0.172 0.346 0.183
Si6 0.172 0.654 0.683
Si7 0.273 0.150 0.040
Si8 0.273 0.850 0.540
Si9 0.307 0.349 0.885
Si10 0.307 0.651 0.385
Si11 0.346 0.172 0.317
Si12 0.346 0.828 0.817
Si13 0.349 0.307 0.615
Si14 0.349 0.693 0.115
Si15 0.651 0.307 0.115
Si16 0.651 0.693 0.615
Si17 0.654 0.172 0.817
Si18 0.654 0.828 0.317
Si19 0.693 0.349 0.385
Si20 0.693 0.651 0.885
Si21 0.727 0.150 0.540
Si22 0.727 0.850 0.040
Si23 0.828 0.346 0.683
Si24 0.828 0.654 0.183
Si25 0.840 0.160 0.250
Si26 0.840 0.840 0.750
Si27 0.850 0.273 0.960
Si28 0.850 0.727 0.460
Tc1 0.000 0.000 0.130
Tc2 0.000 0.000 0.370
Tc3 0.000 0.000 0.630
Tc4 0.000 0.000 0.870
Tc5 0.000 0.500 0.065
Tc6 0.000 0.500 0.308
Tc7 0.000 0.500 0.565
Tc8 0.000 0.500 0.808
Tc9 0.500 0.000 0.192
Tc10 0.500 0.000 0.435
Tc11 0.500 0.000 0.692
Tc12 0.500 0.000 0.935
Tc13 0.500 0.500 0.000
Tc14 0.500 0.500 0.250
Tc15 0.500 0.500 0.500
Tc16 0.500 0.500 0.750

Computed properties:
Its size of the total moment is 0.00 μB/f.u. For the final energy, the calculation gives -866.97 eV/cell. The formation energy without anion corrections is -6.39 eV/f.u.

(9)
VASP calculation (SCAN) on a crystal of SiTcTe2 relaxed with PBEsol.

Unit cell a=3.441 b=4.372 c=5.235 alpha=90.00 beta=90.00 gamma=90.00
Sites, in units of the cell vectors:
Si1 0.000 0.000 0.000
Tc1 0.500 0.000 0.500
Te1 0.000 0.500 0.500
Te2 0.500 0.500 0.000

Computed properties:
Its size of the total moment is 0.00 μB/f.u. Its density of states at the Fermi level is 0.899 states/eV/atom. For the final energy, the calculation gives -115.94 eV/cell. The formation energy without anion corrections is 3.64 eV/f.u.

(10)
VASP calculation (SCAN) on a crystal of SiTcTe2 relaxed with PBEsol.

Unit cell a=4.444 b=4.473 c=4.473 alpha=70.41 beta=90.00 gamma=90.00
Sites, in units of the cell vectors:
Si1 0.000 0.000 0.000
Tc1 0.500 0.859 0.859
Te1 0.000 0.632 0.632
Te2 0.500 0.245 0.245

Computed properties:
Its size of the total moment is 0.00 μB/f.u. Its density of states at the Fermi level is 0.883 states/eV/atom. For the final energy, the calculation gives -118.84 eV/cell. The formation energy without anion corrections is 0.74 eV/f.u.

(11)
VASP calculation (SCAN) on a crystal of Si4TcTe relaxed with PBEsol.

Unit cell a=5.117 b=5.117 c=5.117 alpha=60.00 beta=60.00 gamma=60.00
Sites, in units of the cell vectors:
Si1 0.125 0.125 0.125
Si2 0.125 0.125 0.624
Si3 0.125 0.624 0.125
Si4 0.624 0.125 0.125
Tc1 0.500 0.500 0.500
Te1 0.750 0.750 0.750

Computed properties:
Its size of the total moment is 2.39 μB/f.u. Its density of states at the Fermi level is 0.563 states/eV/atom. For the final energy, the calculation gives -107.29 eV/cell. The formation energy without anion corrections is 5.09 eV/f.u.

(12)
VASP calculation (SCAN) on a crystal of Ti2Si2Tc relaxed with PBEsol.

Unit cell a=6.358 b=6.358 c=3.501 alpha=90.00 beta=90.00 gamma=90.00
Sites, in units of the cell vectors:
Ti1 0.169 0.331 0.000
Ti2 0.331 0.831 0.000
Ti3 0.669 0.169 0.000
Ti4 0.831 0.669 0.000
Si1 0.132 0.632 0.500
Si2 0.368 0.132 0.500
Si3 0.632 0.868 0.500
Si4 0.868 0.368 0.500
Tc1 0.000 0.000 0.500
Tc2 0.500 0.500 0.500

Computed properties:
Its size of the total moment is 0.00 μB/f.u. Its density of states at the Fermi level is 0.647 states/eV/atom. For the final energy, the calculation gives -182.22 eV/cell. The formation energy without anion corrections is -3.96 eV/f.u.

(13)
VASP calculation (SCAN) on a crystal of Tl2SiTc relaxed with PBEsol.

Unit cell a=3.144 b=3.144 c=8.383 alpha=90.00 beta=90.00 gamma=90.00
Sites, in units of the cell vectors:
Tl1 0.000 0.000 0.000
Tl2 0.500 0.500 0.362
Si1 0.000 0.000 0.636
Tc1 0.500 0.500 0.750

Computed properties:
Its size of the total moment is 0.00 μB/f.u. Its density of states at the Fermi level is 0.707 states/eV/atom. For the final energy, the calculation gives -188.96 eV/cell. The formation energy without anion corrections is 0.83 eV/f.u.